1.
Below is a geometry-optimized CaZr2Zn structure, with properties calculated at the GGA-PBE level.

a = 4.3468 Å, b = 4.3468 Å, c = 9.7239 Å
α = 90.00°, β = 90.00°, γ = 90.00°
Last column: nearest neighbours and their distance in Å.
Fractional positions:
Ca 0.0000 0.0000 0.0000  4 Zn 3.07, 8 Zr 3.26
Ca 0.5000 0.5000 0.5000  4 Zn 3.07, 8 Zr 3.26
Zr 0.0000 0.5000 0.2500  4 Zr 3.07, 4 Ca 3.26, 4 Zn 3.26
Zr 0.0000 0.5000 0.7500  4 Zr 3.07, 4 Ca 3.26, 4 Zn 3.26
Zr 0.5000 0.0000 0.2500  4 Zr 3.07, 4 Ca 3.26, 4 Zn 3.26
Zr 0.5000 0.0000 0.7500  4 Zr 3.07, 4 Ca 3.26, 4 Zn 3.26
Zn 0.0000 0.0000 0.5000  4 Ca 3.07, 8 Zr 3.26
Zn 0.5000 0.5000 0.0000  4 Ca 3.07, 8 Zr 3.26

Output
Crystal system: tetragonal

---

2.
Below is a geometry-optimized CaZr2Zn structure, with properties calculated at the GGA-PBE level.

a = 3.3553 Å, b = 5.0633 Å, c = 11.0682 Å
α = 90.00°, β = 90.00°, γ = 90.00°
Last column: nearest neighbours and their distance in Å.
Fractional positions:
Ca 0.0000 0.0000 0.0000  4 Zn 3.04, 2 Ca 3.36
Ca 0.5000 0.5000 0.5000  4 Zn 3.04, 2 Ca 3.36
Zr 0.0000 0.5000 0.2132  2 Zn 2.90, 4 Zr 3.14
Zr 0.0000 0.5000 0.7868  2 Zn 2.90, 4 Zr 3.14
Zr 0.5000 0.0000 0.2868  2 Zn 2.90, 4 Zr 3.14
Zr 0.5000 0.0000 0.7132  2 Zn 2.90, 4 Zr 3.14
Zn 0.0000 0.0000 0.5000  4 Zr 2.90, 4 Ca 3.04
Zn 0.5000 0.5000 0.0000  4 Zr 2.90, 4 Ca 3.04

Output
Crystal system: orthorhombic

---

3.
Below is a geometry-optimized CaZr2Zn structure, with properties calculated at the GGA-PBE level.

a = 3.2383 Å, b = 5.4998 Å, c = 5.3366 Å
α = 90.00°, β = 95.99°, γ = 90.00°
Last column: nearest neighbours and their distance in Å.
Fractional positions:
Ca 0.0000 0.0000 0.0000  4 Zn 2.97-3.26, 2 Ca 3.24, 4 Zr 3.31
Zr 0.3096 0.5000 0.7311  3 Zr 2.87-3.01, 2 Zn 3.10
Zr 0.6904 0.5000 0.2689  3 Zr 2.87-3.01, 2 Zn 3.10
Zn 0.5000 0.0000 0.5000  4 Ca 2.97-3.26, 4 Zr 3.10, 2 Zn 3.24

Output
Crystal system: monoclinic

---

4.
Below is a geometry-optimized CaZr2Zn structure, with properties calculated at the GGA-PBE level.

a = 6.0292 Å, b = 11.3085 Å, c = 3.1312 Å
α = 90.00°, β = 118.08°, γ = 90.00°
Last column: nearest neighbours and their distance in Å.
Fractional positions:
Ca 0.0000 0.0000 0.0000  4 Zn 3.01-3.16, 2 Ca 3.13, 4 Zr 3.24
Ca 0.5000 0.5000 0.0000  4 Zn 3.01-3.16, 2 Ca 3.13, 4 Zr 3.24
Zr 0.2500 0.2500 0.5000  6 Zr 3.01-3.16, 2 Ca 3.24, 2 Zn 3.24
Zr 0.2500 0.7500 0.5000  6 Zr 3.01-3.16, 2 Ca 3.24, 2 Zn 3.24
Zr 0.7500 0.2500 0.5000  6 Zr 3.01-3.16, 2 Ca 3.24, 2 Zn 3.24
Zr 0.7500 0.7500 0.5000  6 Zr 3.01-3.16, 2 Ca 3.24, 2 Zn 3.24
Zn 0.0000 0.5000 0.0000  4 Ca 3.01-3.16, 2 Zn 3.13, 4 Zr 3.24
Zn 0.5000 0.0000 0.0000  4 Ca 3.01-3.16, 2 Zn 3.13, 4 Zr 3.24

Output
Crystal system: monoclinic

---

5.
Below is a geometry-optimized CaZr2Zn2 structure, with properties calculated at the GGA-PBE level.

a = 4.9472 Å, b = 4.9472 Å, c = 10.2755 Å
α = 90.00°, β = 90.00°, γ = 90.00°
Last column: nearest neighbours and their distance in Å.
Fractional positions:
Ca 0.0000 0.0000 0.0000  8 Zn 3.57, 10 Zr 3.59-3.82
Ca 0.5000 0.5000 0.5000  8 Zn 3.57, 10 Zr 3.59-3.82
Zr 0.0000 0.0000 0.3496  4 Zn 2.68
Zr 0.0000 0.0000 0.6504  4 Zn 2.68
Zr 0.5000 0.5000 0.1504  4 Zn 2.68
Zr 0.5000 0.5000 0.8496  4 Zn 2.68
Zn 0.0000 0.5000 0.2500  4 Zr 2.68
Zn 0.0000 0.5000 0.7500  4 Zr 2.68
Zn 0.5000 0.0000 0.2500  4 Zr 2.68
Zn 0.5000 0.0000 0.7500  4 Zr 2.68

Output
Crystal system: tetragonal
Energy above the lowest structure with this stoichiometry in meV per atom: 299

---

6.
Below is a geometry-optimized CaZr2Zn structure, with properties calculated at the GGA-PBE level.

a = 6.2088 Å, b = 9.6943 Å, c = 3.0732 Å
α = 90.00°, β = 90.00°, γ = 90.00°
Last column: nearest neighbours and their distance in Å.
Fractional positions:
Ca 0.0000 0.0000 0.0000  2 Ca 3.07, 2 Zn 3.10, 8 Zr 3.26
Ca 0.5000 0.5000 0.0000  2 Ca 3.07, 2 Zn 3.10, 8 Zr 3.26
Zr 0.2500 0.2500 0.5000  4 Zr 3.07-3.10, 4 Ca 3.26, 4 Zn 3.26
Zr 0.2500 0.7500 0.5000  4 Zr 3.07-3.10, 4 Zn 3.26, 4 Ca 3.26
Zr 0.7500 0.2500 0.5000  4 Zr 3.07-3.10, 4 Ca 3.26, 4 Zn 3.26
Zr 0.7500 0.7500 0.5000  4 Zr 3.07-3.10, 4 Ca 3.26, 4 Zn 3.26
Zn 0.0000 0.5000 0.0000  2 Zn 3.07, 2 Ca 3.10, 8 Zr 3.26
Zn 0.5000 0.0000 0.0000  2 Zn 3.07, 2 Ca 3.10, 8 Zr 3.26

Output
Crystal system: orthorhombic

---

no.,ΔH_f (0 K) (eV/f.u.),mass density (Mg/m³)
1,0.921,5.205
2,-0.080,5.086
3,0.703,5.058
4,0.848,5.077
5,1.318,4.666
6,1.270,5.170